[1]
DFT (PBE) results for crystalline SmErCd at its relaxed geometry.

Cell: 4.7479 4.7479 7.9233 Å, 90.00 90.00 90.00°
Element x y z (fractional)
Sm1 0.0000 0.0000 0.0000
Sm2 0.5000 0.5000 0.0000
Cd1 0.0000 0.5000 0.2702
Cd2 0.5000 0.0000 0.7298
Er1 0.0000 0.5000 0.6449
Er2 0.5000 0.0000 0.3551

Properties
* energy of formation: -43 meV per atom
* ΔE to the lowest computed polymorph: 0.45 eV/f.u.

[2]
DFT (PBE) results for crystalline Ta2AlAg at its relaxed geometry.

Cell: 4.9788 4.9788 2.8232 Å, 90.00 90.00 90.00°
Element x y z (fractional)
Al1 0.0000 0.5000 0.5000
Ag1 0.5000 0.0000 0.5000
Ta1 0.0000 0.0000 0.0000
Ta2 0.5000 0.5000 0.0000

Properties
* energy of formation: 272 meV per atom
* ΔE to the lowest computed polymorph: 1.12 eV/f.u.

[3]
DFT (PBE) results for crystalline La3HgO at its relaxed geometry.

Cell: 7.1785 7.1785 7.1785 Å, 59.78 59.78 59.78°
Element x y z (fractional)
Hg1 0.2465 0.2465 0.2465
Hg2 0.7465 0.7465 0.7465
O1 0.9963 0.9963 0.9963
O2 0.4963 0.4963 0.4963
La1 0.2463 0.7716 0.7210
La2 0.2716 0.7463 0.2210
La3 0.2210 0.2716 0.7463
La4 0.7463 0.2210 0.2716
La5 0.7716 0.7210 0.2463
La6 0.7210 0.2463 0.7716

Properties
* formation energy from raw total energies: -131 kJ/mol of atoms
* ΔE to the lowest computed polymorph: 0.01 eV/f.u.

[4]
DFT (PBE) results for crystalline CsGeSe2 at its relaxed geometry.

Cell: 9.2805 9.2805 9.2805 Å, 28.31 28.31 28.31°
Element x y z (fractional)
Cs1 0.5055 0.5055 0.5055
Ge1 0.0076 0.0076 0.0076
Se1 0.0937 0.0937 0.0937
Se2 0.6442 0.6442 0.6442

Properties
* formation energy from raw total energies: -41 kJ/mol of atoms

[5]
DFT (PBE) results for crystalline Na2PdCO4 at its relaxed geometry.

Cell: 4.8593 4.8593 4.8593 Å, 107.58 110.42 110.42°
Element x y z (fractional)
Na1 0.5000 0.7500 0.2500
Na2 0.0000 0.0000 0.0000
Pd1 0.5000 0.2500 0.7500
C1 0.0000 0.5000 0.5000
O1 0.7039 0.4818 0.5039
O2 0.0220 0.2221 0.5182
O3 0.9780 0.4961 0.2001
O4 0.2961 0.7999 0.7779

Properties
* formation energy from raw total energies: -105 kJ/mol of atoms

[6]
DFT (PBE) results for crystalline Co2PbBr at its relaxed geometry.

Cell: 4.8328 4.8328 4.8328 Å, 60.00 60.00 60.00°
Element x y z (fractional)
Br1 0.5000 0.5000 0.5000
Co1 0.0000 0.0000 0.0000
Co2 0.7500 0.7500 0.7500
Pb1 0.2500 0.2500 0.2500

Properties
* formation energy from raw total energies: 99 kJ/mol of atoms
* ΔE to the lowest computed polymorph: 3.02 eV/f.u.

[7]
DFT (PBE) results for crystalline SrAlZn3 at its relaxed geometry.

Cell: 4.3669 4.3666 6.3303 Å, 69.88 69.86 90.20°
Element x y z (fractional)
Sr1 0.3984 0.2017 0.9088
Al1 0.0234 0.8268 0.6598
Zn1 0.6520 0.9541 0.4029
Zn2 0.1501 0.4554 0.4029
Zn3 0.7838 0.5872 0.1367

Properties
* energy of formation: -219 meV per atom
* ΔE to the lowest computed polymorph: 0.00 eV/f.u.

[8]
DFT (PBE) results for crystalline PmZn3Ga3 at its relaxed geometry.

Cell: 8.2799 8.2799 8.2799 Å, 60.00 60.00 60.00°
Element x y z (fractional)
Pm1 0.2500 0.2500 0.2500
Pm2 0.7500 0.7500 0.7500
Zn1 0.1512 0.8488 0.8488
Zn2 0.1512 0.8488 0.1512
Zn3 0.1512 0.1512 0.8488
Zn4 0.8488 0.1512 0.8488
Zn5 0.8488 0.1512 0.1512
Zn6 0.8488 0.8488 0.1512
Ga1 0.3440 0.6560 0.3440
Ga2 0.3440 0.6560 0.6560
Ga3 0.3440 0.3440 0.6560
Ga4 0.6560 0.3440 0.6560
Ga5 0.6560 0.3440 0.3440
Ga6 0.6560 0.6560 0.3440

Properties
* energy of formation: 459 meV per atom
* ΔE to the lowest computed polymorph: 4.98 eV/f.u.